Below is a relaxed CoPtRh2 crystal, with properties calculated at the PBE-GGA level.

* crystal system: orthorhombic
* ΔE_f: 0.16 eV/atom

Cell lengths 2.7066, 4.5836, 5.2764 Å; angles 115.74, 104.86, 90.00 degrees
With the nearest neighbours (Å) after each atom.
Sites, in units of the cell vectors:
Co1 0.7467 0.2467 0.4934  6 Rh 2.53-2.66, 2 Pt 2.58, 2 Co 2.71
Pt1 0.4883 0.4883 0.9766  2 Co 2.58, 6 Rh 2.67-2.77, 2 Pt 2.71
Rh1 0.0121 0.0121 0.0241  2 Co 2.53, 4 Pt 2.67, 4 Rh 2.71-2.72
Rh2 0.2530 0.7530 0.5059  4 Co 2.66, 4 Rh 2.71-2.72, 2 Pt 2.77

Below is a relaxed AcTh2NbN4 crystal, with properties calculated at the PBE-GGA level.

* crystal system: orthorhombic
* ΔE_f (raw): -1.148 eV/atom

Cell lengths 3.5862, 6.5553, 12.4521 Å; angles 90.00, 90.00, 105.87 degrees
With the nearest neighbours (Å) after each atom.
Sites, in units of the cell vectors:
Ac1 0.0896 0.1792 0.7500  2 N 2.66
Ac2 0.9104 0.8208 0.2500  2 N 2.66
Th1 0.3694 0.7387 0.5436  6 N 2.41-2.69
Th2 0.6306 0.2613 0.0436  6 N 2.41-2.69
Th3 0.6306 0.2613 0.4564  6 N 2.41-2.69
Th4 0.3694 0.7387 0.9564  6 N 2.41-2.69
Nb1 0.8278 0.6556 0.7500  4 N 2.01-2.23
Nb2 0.1722 0.3444 0.2500  4 N 2.01-2.23
N1 0.2675 0.5350 0.1205  1 Nb 2.01
N2 0.7325 0.4650 0.6205  1 Nb 2.01
N3 0.7325 0.4650 0.8795  1 Nb 2.01
N4 0.2675 0.5350 0.3795  1 Nb 2.01
N5 0.0000 0.0000 0.5000  4 Th 2.49
N6 0.0000 0.0000 0.0000  4 Th 2.49
N7 0.4333 0.8667 0.7500  2 Nb 2.23
N8 0.5667 0.1333 0.2500  2 Nb 2.23

Below is a relaxed RbBeF3 crystal, with properties calculated at the PBE-GGA level.

* crystal system: tetragonal
* ΔE_f (raw): -2.856 eV/atom

Cell lengths 5.6313, 5.6313, 5.8981 Å; angles 61.49, 61.49, 90.00 degrees
With the nearest neighbours (Å) after each atom.
Sites, in units of the cell vectors:
Be1 0.5000 0.5000 0.0000  4 F 1.67
Be2 0.0000 0.0000 0.0000  2 F 1.46
Rb1 0.7500 0.2500 0.5000  12 F 2.90-2.97
Rb2 0.2500 0.7500 0.5000  12 F 2.90-2.97
F1 0.1681 0.1681 0.6638  1 Be 1.46
F2 0.8319 0.8319 0.3362  1 Be 1.46
F3 0.2905 0.2905 0.0000  1 Be 1.67
F4 0.7095 0.7095 0.0000  1 Be 1.67
F5 0.7095 0.2905 0.0000  1 Be 1.67
F6 0.2905 0.7095 0.0000  1 Be 1.67

Please write out number 1 again, unchanged.
Below is a relaxed CoPtRh2 crystal, with properties calculated at the PBE-GGA level.

* crystal system: orthorhombic
* ΔE_f: 0.16 eV/atom

Cell lengths 2.7066, 4.5836, 5.2764 Å; angles 115.74, 104.86, 90.00 degrees
With the nearest neighbours (Å) after each atom.
Sites, in units of the cell vectors:
Co1 0.7467 0.2467 0.4934  6 Rh 2.53-2.66, 2 Pt 2.58, 2 Co 2.71
Pt1 0.4883 0.4883 0.9766  2 Co 2.58, 6 Rh 2.67-2.77, 2 Pt 2.71
Rh1 0.0121 0.0121 0.0241  2 Co 2.53, 4 Pt 2.67, 4 Rh 2.71-2.72
Rh2 0.2530 0.7530 0.5059  4 Co 2.66, 4 Rh 2.71-2.72, 2 Pt 2.77

Copy entry 1 word for word.
Below is a relaxed CoPtRh2 crystal, with properties calculated at the PBE-GGA level.

* crystal system: orthorhombic
* ΔE_f: 0.16 eV/atom

Cell lengths 2.7066, 4.5836, 5.2764 Å; angles 115.74, 104.86, 90.00 degrees
With the nearest neighbours (Å) after each atom.
Sites, in units of the cell vectors:
Co1 0.7467 0.2467 0.4934  6 Rh 2.53-2.66, 2 Pt 2.58, 2 Co 2.71
Pt1 0.4883 0.4883 0.9766  2 Co 2.58, 6 Rh 2.67-2.77, 2 Pt 2.71
Rh1 0.0121 0.0121 0.0241  2 Co 2.53, 4 Pt 2.67, 4 Rh 2.71-2.72
Rh2 0.2530 0.7530 0.5059  4 Co 2.66, 4 Rh 2.71-2.72, 2 Pt 2.77